Crystalline Pm2MnCrO6 at its relaxed geometry, computed with PBE+U.

abc: 5.5114 5.5114 4.0218
angles: 90.00 90.00 90.00
Positions (direct):
Pm: 0.0000 0.5000 0.0000
Pm: 0.5000 0.0000 0.0000
Mn: 0.0000 0.0000 0.5748
Cr: 0.5000 0.5000 0.5769
O: 0.0000 0.0000 0.0888
O: 0.2503 0.2503 0.6247
O: 0.2503 0.7497 0.6247
O: 0.5000 0.5000 0.0891
O: 0.7497 0.2503 0.6247
O: 0.7497 0.7497 0.6247

Values from the calculation:
E_tot   -7.9020 eV per atom